# BaInSbPd2

BaInSbPd2 after structural relaxation (PBE, the Alexandria database).

Summary:
Its energy is -20.32 eV/cell. Its space-group type is P4/mmm (123). Its theoretical density is 6507 kg/m³. The density of states at the Fermi level comes out at 1.25 states/eV/cell.

Lattice parameters (Å, degrees): 5.1487 5.1487 5.6482 90.00 90.00 90.00
Closest atoms and distances in Å follow each position.
Sites, in units of the cell vectors:
Ba: 0.0000 0.0000 0.0000  4 In 3.64, 8 Pd 3.82
In: 0.5000 0.5000 0.0000  2 Sb 2.82
Sb: 0.5000 0.5000 0.5000  4 Pd 2.57, 2 In 2.82
Pd: 0.0000 0.5000 0.5000  2 Sb 2.57
Pd: 0.5000 0.0000 0.5000  2 Sb 2.57